# CaLaY2 | the Alexandria database | GGA-PBEsol | relaxed
# Excess energy over the best structure of this formula in the dataset = 0.031 eV per atom
data_CaLaY2
_chemical_formula_sum 'Ca1 La1 Y2'
_cell_length_a 3.607
_cell_length_b 5.139
_cell_length_c 7.205
_cell_angle_alpha 90.00
_cell_angle_beta 90.00
_cell_angle_gamma 90.00
_symmetry_space_group_name_H-M 'P m m m'
_symmetry_Int_Tables_number 47
_symmetry_space_group_name_Hall '-P 2 2'
loop_
_atom_site_label
_atom_site_fract_x
_atom_site_fract_y
_atom_site_fract_z
_atom_site_occupancy
Ca1 0.000 0.000 0.000 1
La1 0.000 0.000 0.500 1
Y1 0.500 0.500 0.261 1